Entry 1:
Below is crystalline Y2ZrCd at its relaxed geometry, with properties calculated at the PBE-GGA level.

Cell and atoms, written as extended XYZ:
```
4
Lattice="3.5098 0.0000 0.0000 0.0000 4.4622 0.0000 0.0000 0.0000 6.8485" Properties=species:S:1:pos:R:3 pbc="T T T"
Y 0.0000 0.0000 1.6839
Y 0.0000 0.0000 5.1646
Zr 1.7549 2.2311 0.0000
Cd 1.7549 2.2311 3.4242
```

Computed properties:
As for the total energy: -5.64 eV per atom. Its space group is Pmmm, No. 47.

---

Entry 2:
Below is crystalline YZr2Cd at its relaxed geometry, with properties calculated at the PBE-GGA level.

Cell and atoms, written as extended XYZ:
```
4
Lattice="0.0000 3.6516 3.6516 3.6516 0.0000 3.6516 3.6516 3.6516 0.0000" Properties=species:S:1:pos:R:3 pbc="T T T"
Y 0.0000 0.0000 0.0000
Zr 1.8258 1.8258 1.8258
Zr 3.6516 3.6516 3.6516
Cd 5.4774 5.4774 5.4774
```

Computed properties:
As for the total energy: -6.04 eV per atom. Its space group is F-43m, No. 216.

---

Entry 3:
Below is crystalline Y2ZrCd at its relaxed geometry, with properties calculated at the PBE-GGA level.

Cell and atoms, written as extended XYZ:
```
4
Lattice="-2.3667 2.3667 4.7127 2.3667 -2.3667 4.7127 2.3667 2.3667 -4.7127" Properties=species:S:1:pos:R:3 pbc="T T T"
Y 2.3667 0.0000 2.3564
Y 0.0000 2.3667 2.3564
Zr 0.0000 0.0000 0.0000
Cd 0.0000 0.0000 4.7127
```

Computed properties:
As for the total energy: -5.60 eV per atom. Its space group is I4/mmm, No. 139.

---

Entry 4:
Below is crystalline YZr2Cd at its relaxed geometry, with properties calculated at the PBE-GGA level.

Cell and atoms, written as extended XYZ:
```
4
Lattice="3.3106 0.0000 0.0000 0.0000 3.3106 0.0000 0.0000 0.0000 8.9595" Properties=species:S:1:pos:R:3 pbc="T T T"
Y 0.0000 0.0000 0.0000
Zr 0.0000 0.0000 4.5480
Zr 1.6553 1.6553 2.4272
Cd 1.6553 1.6553 6.6501
```

Computed properties:
As for the total energy: -6.20 eV per atom. Its space group is P4mm, No. 99.

---

Repeat the third record exactly.
Below is crystalline Y2ZrCd at its relaxed geometry, with properties calculated at the PBE-GGA level.

Cell and atoms, written as extended XYZ:
```
4
Lattice="-2.3667 2.3667 4.7127 2.3667 -2.3667 4.7127 2.3667 2.3667 -4.7127" Properties=species:S:1:pos:R:3 pbc="T T T"
Y 2.3667 0.0000 2.3564
Y 0.0000 2.3667 2.3564
Zr 0.0000 0.0000 0.0000
Cd 0.0000 0.0000 4.7127
```

Computed properties:
As for the total energy: -5.60 eV per atom. Its space group is I4/mmm, No. 139.

---

Which of these has the lowest total energy?
number 4

---

Which of these has the lowest total energy?
number 4